This record from Alexandria describes a relaxed structure of BePb2F. The functional is PBE.

Properties
uncorrected formation energy	-292	meV/atom
spin magnetization	0.0	μB/cell
mass density	9.6	g/cm3
E_tot	-3.5456	eV/atom
ΔE to the lowest computed polymorph	0.00	eV/f.u.

CIF file:
```
data_BePb2F
_chemical_formula_sum 'Be4 Pb8 F4'
_cell_length_a 6.742
_cell_length_b 6.742
_cell_length_c 6.742
_cell_angle_alpha 90.00
_cell_angle_beta 90.00
_cell_angle_gamma 90.00
_symmetry_space_group_name_H-M 'F m -3 m'
_symmetry_Int_Tables_number 225
_symmetry_space_group_name_Hall '-F 4 2 3'
loop_
_atom_site_label
_atom_site_type_symbol
_atom_site_fract_x
_atom_site_fract_y
_atom_site_fract_z
Be1 Be 0.000 0.000 0.000
Pb1 Pb 0.250 0.250 0.250
F1 F 0.000 0.000 0.500
```

***

This record from Alexandria describes a relaxed structure of GeBSN2. The functional is PBE.

Properties
uncorrected formation energy	1087	meV/atom
spin magnetization	0.0	μB/cell
mass density	3.6	g/cm3
E_tot	-5.3274	eV/atom
ΔE to the lowest computed polymorph	0.00	eV/f.u.

CIF file:
```
data_GeBSN2
_chemical_formula_sum 'Ge1 B1 S1 N2'
_cell_length_a 3.264
_cell_length_b 3.264
_cell_length_c 6.142
_cell_angle_alpha 90.00
_cell_angle_beta 90.00
_cell_angle_gamma 90.00
_symmetry_space_group_name_H-M 'P 4/m m m'
_symmetry_Int_Tables_number 123
_symmetry_space_group_name_Hall '-P 4 2'
loop_
_atom_site_label
_atom_site_type_symbol
_atom_site_fract_x
_atom_site_fract_y
_atom_site_fract_z
Ge1 Ge 0.000 0.000 0.000
B1 B 0.500 0.500 0.500
S1 S 0.500 0.500 0.000
N1 N 0.000 0.500 0.500
```

***

This record from Alexandria describes a relaxed structure of KMnW2. The functional is PBE.

Properties
spin magnetization	0.5	μB/cell
mass density	8.7	g/cm3
E_tot	-8.0789	eV/atom
formation energy	0.964	eV per atom
ΔE to the lowest computed polymorph	0.54	eV/f.u.

CIF file:
```
data_KMnW2
_chemical_formula_sum 'K1 Mn1 W2'
_cell_length_a 2.759
_cell_length_b 4.219
_cell_length_c 7.611
_cell_angle_alpha 90.00
_cell_angle_beta 93.90
_cell_angle_gamma 90.00
_symmetry_space_group_name_H-M 'P 1 m 1'
_symmetry_Int_Tables_number 6
loop_
_symmetry_equiv_pos_as_xyz
'x,y,z'
'x,-y,z'
loop_
_atom_site_label
_atom_site_type_symbol
_atom_site_fract_x
_atom_site_fract_y
_atom_site_fract_z
K1 K 0.000 0.000 0.000
Mn1 Mn 0.881 0.500 0.353
W1 W 0.156 0.500 0.635
W2 W 0.509 0.000 0.470
```

***

This record from Alexandria describes a relaxed structure of YVRh3. The functional is PBE.

Properties
spin magnetization	0.0	μB/cell
mass density	7.9	g/cm3
E_tot	-7.6515	eV/atom
formation energy	-0.124	eV per atom
ΔE to the lowest computed polymorph	0.00	eV/f.u.

CIF file:
```
data_YVRh3
_chemical_formula_sum 'Y1 V1 Rh3'
_cell_length_a 4.548
_cell_length_b 4.548
_cell_length_c 4.548
_cell_angle_alpha 90.00
_cell_angle_beta 90.00
_cell_angle_gamma 90.00
_symmetry_space_group_name_H-M 'P m -3 m'
_symmetry_Int_Tables_number 221
_symmetry_space_group_name_Hall '-P 4 2 3'
loop_
_atom_site_label
_atom_site_type_symbol
_atom_site_fract_x
_atom_site_fract_y
_atom_site_fract_z
Y1 Y 0.000 0.000 0.000
V1 V 0.500 0.500 0.500
Rh1 Rh 0.000 0.500 0.500
```

***

This record from Alexandria describes a relaxed structure of Be2ReMo. The functional is PBE.

Properties
spin magnetization	0.0	μB/cell
mass density	9.7	g/cm3
E_tot	-7.3847	eV/atom
formation energy	0.298	eV per atom
ΔE to the lowest computed polymorph	2.16	eV/f.u.

CIF file:
```
data_Be2ReMo
_chemical_formula_sum 'Be6 Re3 Mo3'
_cell_length_a 2.6925
_cell_length_b 2.6925
_cell_length_c 24.4851
_cell_angle_alpha 90.00
_cell_angle_beta 90.00
_cell_angle_gamma 120.00
_symmetry_space_group_name_H-M 'R -3 m'
_symmetry_Int_Tables_number 166
_symmetry_space_group_name_Hall '-R 3 2"'
loop_
_atom_site_label
_atom_site_type_symbol
_atom_site_fract_x
_atom_site_fract_y
_atom_site_fract_z
Be1 Be 0.0000 0.0000 0.2480
Re1 Re 0.0000 0.0000 0.5000
Mo1 Mo 0.0000 0.0000 0.0000
```

***

This record from Alexandria describes a relaxed structure of Na4Tb3HoS8. The functional is PBE.

Properties
uncorrected formation energy	-1848	meV/atom
spin magnetization	0.0	μB/cell
mass density	4.4	g/cm3
E_tot	-5.3953	eV/atom

CIF file:
```
data_Na4Tb3HoS8
_chemical_formula_sum 'Na12 Tb9 Ho3 S24'
_cell_length_a 7.9910
_cell_length_b 7.9910
_cell_length_c 20.0467
_cell_angle_alpha 90.00
_cell_angle_beta 90.00
_cell_angle_gamma 120.00
_symmetry_space_group_name_H-M 'R -3 m'
_symmetry_Int_Tables_number 166
_symmetry_space_group_name_Hall '-R 3 2"'
loop_
_atom_site_label
_atom_site_type_symbol
_atom_site_fract_x
_atom_site_fract_y
_atom_site_fract_z
Na1 Na 0.0000 0.0000 0.0000
Na2 Na 0.0000 0.5000 0.0000
Tb1 Tb 0.0000 0.5000 0.5000
Ho1 Ho 0.0000 0.0000 0.5000
S1 S 0.0000 0.0000 0.2426
S2 S 0.0021 0.5010 0.2423
```

***

This record from Alexandria describes a relaxed structure of Ac4IrSe2S. The functional is PBE.

Properties
uncorrected formation energy	-1603	meV/atom
spin magnetization	0.0	μB/cell
mass density	8.6	g/cm3
E_tot	-6.1515	eV/atom

CIF file:
```
data_Ac4IrSe2S
_chemical_formula_sum 'Ac4 Ir1 Se2 S1'
_cell_length_a 7.717
_cell_length_b 4.333
_cell_length_c 7.844
_cell_angle_alpha 90.00
_cell_angle_beta 108.63
_cell_angle_gamma 90.00
_symmetry_space_group_name_H-M 'P 1 2/m 1'
_symmetry_Int_Tables_number 10
loop_
_symmetry_equiv_pos_as_xyz
'x,y,z'
'-x,-y,-z'
'-x,y,-z'
'x,-y,z'
loop_
_atom_site_label
_atom_site_type_symbol
_atom_site_fract_x
_atom_site_fract_y
_atom_site_fract_z
Ac1 Ac 0.230 0.000 0.224
Ac2 Ac 0.250 0.500 0.765
Ir1 Ir 0.000 0.500 0.000
Se1 Se 0.000 0.000 0.500
Se2 Se 0.500 0.500 0.500
S1 S 0.500 0.000 0.000
```

***

This record from Alexandria describes a relaxed structure of BeTcCl2. The functional is PBE.

Properties
uncorrected formation energy	568	meV/atom
spin magnetization	3.7	μB/cell
mass density	4.6	g/cm3
E_tot	-3.8788	eV/atom
ΔE to the lowest computed polymorph	3.28	eV/f.u.

CIF file:
```
data_BeTcCl2
_chemical_formula_sum 'Be2 Tc2 Cl4'
_cell_length_a 5.715
_cell_length_b 8.042
_cell_length_c 3.190
_cell_angle_alpha 90.00
_cell_angle_beta 117.82
_cell_angle_gamma 90.00
_symmetry_space_group_name_H-M 'C 1 2/m 1'
_symmetry_Int_Tables_number 12
loop_
_symmetry_equiv_pos_as_xyz
'x,y,z'
'-x,-y,-z'
'-x,y,-z'
'x,-y,z'
'x+1/2,y+1/2,z'
'-x+1/2,-y+1/2,-z'
'-x+1/2,y+1/2,-z'
'x+1/2,-y+1/2,z'
loop_
_atom_site_label
_atom_site_type_symbol
_atom_site_fract_x
_atom_site_fract_y
_atom_site_fract_z
Be1 Be 0.000 0.000 0.000
Tc1 Tc 0.000 0.500 0.000
Cl1 Cl 0.250 0.250 0.000
```